(P)
DFT (PBEsol) results for an optimized crystal structure of Zn3Au5.

Values from the calculation:
**SG**: I4/mcm (140)

a b c (Å): 5.186 7.480 7.480
angles (deg): 83.10 69.72 69.72
Sites, in units of the cell vectors:
1 Zn 0.666 0.168 0.500
2 Zn 0.750 0.000 0.000
3 Zn 0.334 0.832 0.500
4 Zn 0.166 0.500 0.168
5 Zn 0.250 0.000 0.000
6 Zn 0.834 0.500 0.832
7 Au 0.250 0.500 0.500
8 Au 0.077 0.145 0.701
9 Au 0.222 0.701 0.855
10 Au 0.923 0.855 0.299
11 Au 0.423 0.299 0.855
12 Au 0.577 0.701 0.145
13 Au 0.278 0.145 0.299
14 Au 0.778 0.299 0.145
15 Au 0.750 0.500 0.500
16 Au 0.722 0.855 0.701

=====

(Q)
DFT (PBEsol) results for an optimized crystal structure of Zn3Au5.

Values from the calculation:
**SG**: Cmmm (65)

a b c (Å): 4.229 5.475 5.475
angles (deg): 95.40 90.00 90.00
Sites, in units of the cell vectors:
1 Au 0.500 0.292 0.292
2 Au 0.000 0.000 0.000
3 Au 0.500 0.708 0.708
4 Au 0.000 0.000 0.500
5 Au 0.000 0.500 0.000
6 Zn 0.500 0.782 0.218
7 Zn 0.500 0.218 0.782
8 Zn 0.000 0.500 0.500

=====

(R)
DFT (PBEsol) results for an optimized crystal structure of Zn3Au5.

Values from the calculation:
**SG**: P6_3/mcm (193)

a b c (Å): 5.278 7.490 7.490
angles (deg): 120.00 90.00 90.00
Sites, in units of the cell vectors:
1 Au 0.000 0.667 0.333
2 Au 0.500 0.667 0.333
3 Au 0.750 0.774 0.774
4 Au 0.250 0.226 0.226
5 Au 0.500 0.333 0.667
6 Au 0.750 0.000 0.226
7 Au 0.250 0.774 0.000
8 Au 0.250 0.000 0.774
9 Au 0.750 0.226 0.000
10 Au 0.000 0.333 0.667
11 Zn 0.250 0.000 0.402
12 Zn 0.250 0.598 0.598
13 Zn 0.750 0.402 0.402
14 Zn 0.750 0.598 0.000
15 Zn 0.250 0.402 0.000
16 Zn 0.750 0.000 0.598

=====

Best to worst by energy: (Q), (R), (P).

=====

(P)
DFT (PBEsol) results for an optimized crystal structure of Zn5Au4.

Values from the calculation:
**SG**: P6_3/mcm (193)

a b c (Å): 5.413 7.690 7.690
angles (deg): 120.00 90.00 90.00
Sites, in units of the cell vectors:
1 Au 0.750 0.626 0.626
2 Au 0.000 0.000 0.000
3 Au 0.750 0.000 0.374
4 Au 0.500 0.000 0.000
5 Au 0.250 0.374 0.374
6 Au 0.750 0.374 0.000
7 Au 0.250 0.000 0.626
8 Au 0.250 0.626 0.000
9 Zn 0.750 0.299 0.299
10 Zn 0.250 0.000 0.299
11 Zn 0.750 0.000 0.701
12 Zn 0.000 0.333 0.667
13 Zn 0.000 0.667 0.333
14 Zn 0.500 0.667 0.333
15 Zn 0.250 0.299 0.000
16 Zn 0.500 0.333 0.667
17 Zn 0.250 0.701 0.701
18 Zn 0.750 0.701 0.000

=====

(Q)
DFT (PBEsol) results for an optimized crystal structure of Zn5Au4.

Values from the calculation:
**SG**: I4/mmm (139)

a b c (Å): 3.942 6.206 6.206
angles (deg): 84.21 71.48 71.48
Sites, in units of the cell vectors:
1 Zn 0.666 0.668 0.000
2 Zn 0.666 0.000 0.668
3 Zn 0.334 0.332 0.000
4 Zn 0.334 0.000 0.332
5 Zn 0.000 0.000 0.000
6 Au 0.317 0.683 0.683
7 Au 0.683 0.317 0.317
8 Au 0.000 0.317 0.683
9 Au 0.000 0.683 0.317

=====

Best to worst by energy: (P), (Q).

=====

(P)
DFT (PBEsol) results for an optimized crystal structure of KBe2B3O7.

Values from the calculation:
**SG**: C2/c (15)

a b c (Å): 6.534 6.883 6.883
angles (deg): 98.32 108.40 71.60
Sites, in units of the cell vectors:
1 O 0.617 0.614 0.055
2 O 0.250 0.702 0.702
3 O 0.750 0.298 0.298
4 O 0.696 0.922 0.220
5 O 0.736 0.649 0.421
6 O 0.383 0.386 0.945
7 O 0.883 0.055 0.614
8 O 0.117 0.945 0.386
9 O 0.196 0.780 0.078
10 O 0.804 0.220 0.922
11 O 0.264 0.351 0.579
12 O 0.236 0.579 0.351
13 O 0.304 0.078 0.780
14 O 0.764 0.421 0.649
15 Be 0.657 0.365 0.056
16 Be 0.843 0.056 0.365
17 Be 0.343 0.635 0.944
18 Be 0.157 0.944 0.635
19 B 0.250 0.549 0.549
20 B 0.183 0.770 0.267
21 B 0.817 0.230 0.733
22 B 0.683 0.733 0.230
23 B 0.750 0.451 0.451
24 B 0.317 0.267 0.770
25 K 0.750 0.824 0.824
26 K 0.250 0.176 0.176

=====

(Q)
DFT (PBEsol) results for an optimized crystal structure of KBe2B3O7.

Values from the calculation:
**SG**: Pmn2_1 (31)

a b c (Å): 4.384 7.643 17.534
angles (deg): 90.00 90.00 90.00
Sites, in units of the cell vectors:
1 O 0.263 0.658 0.486
2 O 0.140 0.500 0.777
3 O 0.263 0.342 0.486
4 O 0.128 0.265 0.627
5 O 0.933 0.344 0.992
6 O 0.299 0.710 0.874
7 O 0.570 0.696 0.238
8 O 0.070 0.196 0.762
9 O 0.641 0.000 0.223
10 O 0.433 0.844 0.008
11 O 0.798 0.210 0.126
12 O 0.898 0.000 0.668
13 O 0.299 0.290 0.874
14 O 0.933 0.656 0.992
15 O 0.070 0.804 0.762
16 O 0.763 0.842 0.514
17 O 0.763 0.158 0.514
18 O 0.398 0.500 0.332
19 O 0.465 0.500 0.990
20 O 0.628 0.235 0.373
21 O 0.433 0.156 0.008
22 O 0.128 0.735 0.627
23 O 0.798 0.790 0.126
24 O 0.798 0.500 0.472
25 O 0.628 0.765 0.373
26 O 0.570 0.304 0.238
27 O 0.965 0.000 0.010
28 O 0.298 0.000 0.528
29 B 0.036 0.839 0.684
30 B 0.178 0.667 0.807
31 B 0.112 0.500 0.479
32 B 0.036 0.161 0.684
33 B 0.778 0.500 0.990
34 B 0.536 0.339 0.316
35 B 0.278 0.000 0.010
36 B 0.678 0.833 0.193
37 B 0.612 0.000 0.521
38 B 0.678 0.167 0.193
39 B 0.536 0.661 0.316
40 B 0.178 0.333 0.807
41 Be 0.285 0.323 0.963
42 Be 0.285 0.677 0.963
43 Be 0.615 0.311 0.458
44 Be 0.115 0.189 0.542
45 Be 0.785 0.823 0.037
46 Be 0.115 0.811 0.542
47 Be 0.615 0.689 0.458
48 Be 0.785 0.177 0.037
49 K 0.090 0.000 0.367
50 K 0.689 0.000 0.855
51 K 0.590 0.500 0.633
52 K 0.190 0.500 0.145

=====

Best to worst by energy: (P), (Q).

=====

(P)
DFT (PBEsol) results for an optimized crystal structure of BeBSe2.

Values from the calculation:
**SG**: I-42d (122)

a b c (Å): 4.975 4.975 6.128
angles (deg): 113.95 113.95 90.00
Sites, in units of the cell vectors:
1 Se 0.125 0.109 0.750
2 Se 0.891 0.375 0.250
3 Se 0.359 0.875 0.250
4 Se 0.625 0.641 0.750
5 Be 0.500 0.500 0.000
6 Be 0.750 0.250 0.500
7 B 0.250 0.750 0.500
8 B 0.000 0.000 0.000

=====

(Q)
DFT (PBEsol) results for an optimized crystal structure of BeBSe2.

Values from the calculation:
**SG**: Fm-3m (225)

a b c (Å): 4.283 4.283 4.283
angles (deg): 60.00 60.00 60.00
Sites, in units of the cell vectors:
1 B 0.500 0.500 0.500
2 Se 0.250 0.250 0.250
3 Se 0.750 0.750 0.750
4 Be 0.000 0.000 0.000

=====

Best to worst by energy: (P), (Q).

=====

(P)
DFT (PBEsol) results for an optimized crystal structure of BiBBr2.

Values from the calculation:
**SG**: Fd-3m (227)

a b c (Å): 6.829 6.829 6.829
angles (deg): 60.00 60.00 60.00
Sites, in units of the cell vectors:
1 Bi 0.250 0.250 0.250
2 Bi 0.000 0.000 0.000
3 B 0.750 0.750 0.750
4 B 0.500 0.500 0.500
5 Br 0.625 0.625 0.625
6 Br 0.125 0.625 0.625
7 Br 0.625 0.125 0.625
8 Br 0.625 0.625 0.125

=====

(Q)
DFT (PBEsol) results for an optimized crystal structure of BiBBr2.

Values from the calculation:
**SG**: R-3m (166)

a b c (Å): 3.439 3.439 10.187
angles (deg): 80.28 80.28 60.00
Sites, in units of the cell vectors:
1 Br 0.939 0.939 0.182
2 Br 0.061 0.061 0.818
3 B 0.000 0.000 0.000
4 Bi 0.500 0.500 0.500

=====

Best to worst by energy: (Q), (P).

=====

(P)
DFT (PBEsol) results for an optimized crystal structure of LiBiB2O5.

Values from the calculation:
**SG**: C2 (5)

a b c (Å): 3.744 5.405 5.405
angles (deg): 110.72 92.69 92.69
Sites, in units of the cell vectors:
1 O 0.828 0.923 0.436
2 O 0.505 0.688 0.779
3 O 0.172 0.564 0.077
4 O 0.500 0.235 0.765
5 O 0.495 0.221 0.312
6 Li 0.500 0.602 0.398
7 B 0.609 0.128 0.507
8 B 0.391 0.493 0.872
9 Bi 0.000 0.954 0.046

=====

(Q)
DFT (PBEsol) results for an optimized crystal structure of LiBiB2O5.

Values from the calculation:
**SG**: Pna2_1 (33)

a b c (Å): 4.361 11.436 13.281
angles (deg): 90.00 90.00 90.00
Sites, in units of the cell vectors:
1 B 0.213 0.274 0.234
2 B 0.795 0.954 0.392
3 B 0.717 0.195 0.141
4 B 0.198 0.873 0.983
5 B 0.802 0.373 0.017
6 B 0.302 0.873 0.483
7 B 0.783 0.195 0.641
8 B 0.217 0.695 0.359
9 B 0.713 0.774 0.266
10 B 0.705 0.954 0.892
11 B 0.287 0.274 0.734
12 B 0.698 0.373 0.517
13 B 0.283 0.695 0.859
14 B 0.205 0.454 0.608
15 B 0.295 0.454 0.108
16 B 0.787 0.774 0.766
17 O 0.669 0.074 0.629
18 O 0.169 0.574 0.871
19 O 0.222 0.898 0.590
20 O 0.778 0.398 0.410
21 O 0.615 0.692 0.833
22 O 0.226 0.250 0.841
23 O 0.768 0.248 0.535
24 O 0.331 0.574 0.371
25 O 0.278 0.898 0.090
26 O 0.618 0.263 0.715
27 O 0.382 0.763 0.285
28 O 0.800 0.074 0.881
29 O 0.368 0.387 0.533
30 O 0.868 0.887 0.967
31 O 0.882 0.263 0.215
32 O 0.632 0.887 0.467
33 O 0.132 0.954 0.418
34 O 0.274 0.250 0.341
35 O 0.214 0.400 0.714
36 O 0.385 0.192 0.167
37 O 0.786 0.900 0.286
38 O 0.132 0.387 0.033
39 O 0.232 0.748 0.465
40 O 0.118 0.763 0.785
41 O 0.700 0.074 0.381
42 O 0.726 0.750 0.659
43 O 0.831 0.074 0.129
44 O 0.774 0.750 0.159
45 O 0.300 0.574 0.619
46 O 0.714 0.900 0.786
47 O 0.632 0.454 0.082
48 O 0.368 0.954 0.918
49 O 0.286 0.400 0.214
50 O 0.868 0.454 0.582
51 O 0.268 0.748 0.965
52 O 0.200 0.574 0.119
53 O 0.115 0.192 0.667
54 O 0.722 0.398 0.910
55 O 0.885 0.692 0.333
56 O 0.732 0.248 0.035
57 Li 0.776 0.907 0.598
58 Li 0.724 0.237 0.849
59 Li 0.276 0.737 0.151
60 Li 0.776 0.237 0.349
61 Li 0.224 0.737 0.651
62 Li 0.276 0.407 0.902
63 Li 0.224 0.407 0.402
64 Li 0.724 0.907 0.098
65 Bi 0.328 0.140 0.479
66 Bi 0.777 0.503 0.773
67 Bi 0.223 0.003 0.227
68 Bi 0.672 0.640 0.521
69 Bi 0.277 0.003 0.727
70 Bi 0.172 0.140 0.979
71 Bi 0.828 0.640 0.021
72 Bi 0.723 0.503 0.273

=====

Best to worst by energy: (Q), (P).

=====

(P)
DFT (PBEsol) results for an optimized crystal structure of BBr2O.

Values from the calculation:
**SG**: Fm-3m (225)

a b c (Å): 4.329 4.329 4.329
angles (deg): 60.00 60.00 60.00
Site moments in Bohr magnetons follow the coordinates.
Sites, in units of the cell vectors:
1 O 0.500 0.500 0.500  0.17
2 Br 0.750 0.750 0.750  0.17
3 Br 0.250 0.250 0.250  0.73
4 B 0.000 0.000 0.000  -0.05

=====

(Q)
DFT (PBEsol) results for an optimized crystal structure of BBr2O.

Values from the calculation:
**SG**: R-3m (166)

a b c (Å): 3.361 3.361 7.104
angles (deg): 76.32 76.32 60.00
Sites, in units of the cell vectors:
1 O 0.000 0.000 0.000
2 B 0.500 0.500 0.500
3 Br 0.903 0.903 0.291
4 Br 0.097 0.097 0.709

=====

Best to worst by energy: (Q), (P).

=====

(P)
DFT (PBEsol) results for an optimized crystal structure of BOsBr2.

Values from the calculation:
**SG**: I-42d (122)

a b c (Å): 4.031 6.752 6.752
angles (deg): 84.89 72.63 72.63
Sites, in units of the cell vectors:
1 Br 0.980 0.145 0.645
2 Br 0.375 0.645 0.855
3 Br 0.875 0.355 0.145
4 Br 0.770 0.855 0.355
5 Os 0.000 0.000 0.000
6 Os 0.750 0.500 0.500
7 B 0.250 0.500 0.500
8 B 0.500 0.000 0.000

=====

(Q)
DFT (PBEsol) results for an optimized crystal structure of BOsBr2.

Values from the calculation:
**SG**: Fm-3m (225)

a b c (Å): 4.458 4.458 4.458
angles (deg): 60.00 60.00 60.00
Sites, in units of the cell vectors:
1 Br 0.250 0.250 0.250
2 Br 0.750 0.750 0.750
3 B 0.000 0.000 0.000
4 Os 0.500 0.500 0.500

=====

Best to worst by energy: (P), (Q).